Material: PbO
Method: DFT, PBE-GGA
State: optimized geometry

Cell: 10.624 10.624 3.602 Å, 90.00 90.00 90.00°
Space group P4/m (No. 83)
One atom of each set of equivalent atoms:
Pb (0.076, 0.225, 0.000) x4
Pb (0.177, 0.583, 0.500) x4
O (0.032, 0.353, 0.500) x4
O (0.222, 0.711, 0.000) x4

Summary:
**E**: -5.3382 eV per atom
**Formation energy without anion corrections**: -1.00 eV/atom
**Theoretical density**: 7294 kg/m³

Material: PbO
Method: DFT, PBE-GGA
State: optimized geometry

Cell: 3.639 3.639 6.678 Å, 90.00 90.00 90.00°
Space group P4_2/mmc (No. 131)
One atom of each set of equivalent atoms:
Pb (0.000, 0.000, 0.250) x2
O (0.000, 0.500, 0.000) x2

Summary:
**E**: -5.0424 eV per atom
**Formation energy without anion corrections**: -0.71 eV/atom
**Theoretical density**: 8384 kg/m³

Material: PbO
Method: DFT, PBE-GGA
State: optimized geometry

Cell: 4.057 4.057 5.508 Å, 90.00 90.00 90.00°
Space group P4/nmm (No. 129, origin choice 2)
One atom of each set of equivalent atoms:
Pb (0.250, 0.250, 0.217) x2
O (0.250, 0.750, 0.000) x2

Summary:
**E**: -5.4562 eV per atom
**Formation energy without anion corrections**: -1.12 eV/atom
**Theoretical density**: 8177 kg/m³

Material: PbO2
Method: DFT, PBE-GGA
State: optimized geometry

Cell: 5.548 3.775 7.576 Å, 90.00 90.00 90.00°
Space group Pnma (No. 62)
One atom of each set of equivalent atoms:
Pb (0.235, 0.250, 0.086) x4
O (0.023, 0.750, 0.136) x4
O (0.118, 0.250, 0.388) x4

Summary:
**E**: -5.2459 eV per atom
**Formation energy without anion corrections**: -0.70 eV/atom
**Theoretical density**: 10014 kg/m³